# 1
A plane-wave DFT calculation with PBE was carried out for KNaCu after structural relaxation.

## Properties
Crystal system = cubic

The structure in CIF format:
```
data_KNaCu
_chemical_formula_sum 'K4 Na4 Cu4'
_symmetry_space_group_name_H-M 'F -4 3 m'
_symmetry_Int_Tables_number 216
_symmetry_space_group_name_Hall 'F -4 2 3'
_cell_length_a 7.4886
_cell_length_b 7.4886
_cell_length_c 7.4886
_cell_angle_alpha 90.00
_cell_angle_beta 90.00
_cell_angle_gamma 90.00
loop_
_atom_site_label
_atom_site_fract_x
_atom_site_fract_y
_atom_site_fract_z
K1 0.0000 0.0000 0.0000
Na1 0.0000 0.0000 0.5000
Cu1 0.2500 0.2500 0.2500
```

# 2
A plane-wave DFT calculation with PBE was carried out for Nb4AlCuC2 after structural relaxation.

## Properties
Crystal system = hexagonal
Size of the total moment = 0.01 Bohr magnetons per cell

The structure in CIF format:
```
data_Nb4AlCuC2
_chemical_formula_sum 'Nb4 Al1 Cu1 C2'
_symmetry_space_group_name_H-M 'P -6 m 2'
_symmetry_Int_Tables_number 187
_symmetry_space_group_name_Hall 'P -6 2'
_cell_length_a 3.1509
_cell_length_b 3.1509
_cell_length_c 13.4787
_cell_angle_alpha 90.00
_cell_angle_beta 90.00
_cell_angle_gamma 120.00
loop_
_atom_site_label
_atom_site_fract_x
_atom_site_fract_y
_atom_site_fract_z
Nb1 0.0000 0.0000 0.1532
Nb2 0.3333 0.6667 0.3345
Al1 0.0000 0.0000 0.5000
Cu1 0.3333 0.6667 0.0000
C1 0.6667 0.3333 0.2423
```

# 3
A plane-wave DFT calculation with PBE was carried out for LaPrAsBr after structural relaxation.

## Properties
Crystal system = trigonal
Size of the total moment = 0.01 Bohr magnetons per cell

The structure in CIF format:
```
data_LaPrAsBr
_chemical_formula_sum 'La2 Pr2 As2 Br2'
_symmetry_space_group_name_H-M 'P -3 m 1'
_symmetry_Int_Tables_number 164
_symmetry_space_group_name_Hall '-P 3 2"'
_cell_length_a 4.2631
_cell_length_b 4.2631
_cell_length_c 15.0223
_cell_angle_alpha 90.00
_cell_angle_beta 90.00
_cell_angle_gamma 120.00
loop_
_atom_site_label
_atom_site_fract_x
_atom_site_fract_y
_atom_site_fract_z
La1 0.3333 0.6667 0.3915
Pr1 0.3333 0.6667 0.1043
As1 0.0000 0.0000 0.0000
As2 0.0000 0.0000 0.5000
Br1 0.3333 0.6667 0.7536
```

Number 1: final energy -1.68 eV/atom. Number 2: final energy -8.64 eV/atom. Number 3: final energy -5.50 eV/atom.